No. 1
## Cs2KCoC6N6 (PBE-GGA)

Data for Cs2KCoC6N6 after structural relaxation.

```
Cs2KCoC6N6
1.0
7.558 0.000 0.000
0.000 7.988 0.000
-7.519 0.000 10.962
Cs K Co C N
4 2 2 12 12
direct
0.230 0.066 0.250
0.230 0.434 0.750
0.770 0.566 0.250
0.770 0.934 0.750
0.000 0.000 0.500
0.000 0.500 0.000
0.500 0.000 0.000
0.500 0.500 0.500
0.266 0.126 0.970
0.266 0.374 0.470
0.339 0.696 0.462
0.339 0.804 0.962
0.406 0.020 0.837
0.406 0.480 0.337
0.594 0.520 0.663
0.594 0.980 0.163
0.661 0.196 0.038
0.661 0.304 0.538
0.734 0.626 0.530
0.734 0.874 0.030
0.116 0.202 0.948
0.116 0.298 0.448
0.237 0.681 0.937
0.237 0.819 0.437
0.349 0.037 0.735
0.349 0.463 0.235
0.651 0.537 0.765
0.651 0.963 0.265
0.763 0.181 0.563
0.763 0.319 0.063
0.884 0.702 0.552
0.884 0.798 0.052
```

Calculated values
Symmetry: P2_1/c
Raw total energy (eV/atom): -7.375

***

No. 2
## GdTcPd (PBE-GGA)

Data for GdTcPd after structural relaxation.

```
GdTcPd
1.0
6.471 0.000 0.000
0.000 6.471 0.000
0.000 0.000 6.471
Gd Tc Pd
4 4 4
direct
0.000 0.000 0.000
0.000 0.500 0.500
0.500 0.000 0.500
0.500 0.500 0.000
0.000 0.000 0.500
0.000 0.500 0.000
0.500 0.000 0.000
0.500 0.500 0.500
0.250 0.250 0.250
0.250 0.750 0.750
0.750 0.250 0.750
0.750 0.750 0.250
```

Calculated values
Symmetry: F-43m
ΔH_f (0 K) (meV per atom): 308

***

No. 3
## TmSc2OsC4 (PBE-GGA)

Data for TmSc2OsC4 after structural relaxation.

```
TmSc2OsC4
1.0
3.482 0.000 0.000
0.000 4.485 0.000
0.000 0.000 12.474
Tm Sc Os C
2 4 2 8
direct
0.000 0.000 0.000
0.500 0.500 0.500
0.000 0.500 0.192
0.000 0.500 0.808
0.500 0.000 0.308
0.500 0.000 0.692
0.000 0.000 0.500
0.500 0.500 0.000
0.000 0.337 0.369
0.000 0.337 0.631
0.000 0.663 0.369
0.000 0.663 0.631
0.500 0.163 0.131
0.500 0.163 0.869
0.500 0.837 0.131
0.500 0.837 0.869
```

Calculated values
Symmetry: Immm
Raw total energy (eV/atom): -8.530

***

No. 4
## TbSmAg2Bi4 (PBE-GGA)

Data for TbSmAg2Bi4 after structural relaxation.

```
TbSmAg2Bi4
1.0
4.554 0.000 0.000
0.000 4.554 0.000
0.000 0.000 10.366
Tb Sm Ag Bi
1 1 2 4
direct
0.000 0.000 0.000
0.500 0.500 0.496
0.000 0.500 0.753
0.500 0.000 0.753
0.000 0.000 0.565
0.000 0.500 0.245
0.500 0.000 0.245
0.500 0.500 0.940
```

Calculated values
Symmetry: P4mm
Raw total energy (eV/atom): -4.386

***

No. 5
## Zn3Fe2 (PBE-GGA)

Data for Zn3Fe2 after structural relaxation.

```
Zn3Fe2
1.0
2.549 1.472 5.867
-2.549 1.472 5.867
0.000 -2.944 5.867
Zn Fe
6 4
direct
0.246 0.750 0.254
0.250 0.746 0.754
0.254 0.246 0.750
0.746 0.754 0.250
0.750 0.254 0.246
0.754 0.250 0.746
0.191 0.191 0.191
0.309 0.309 0.309
0.691 0.691 0.691
0.809 0.809 0.809
```

Calculated values
Symmetry: R-3c
ΔH_f (0 K) (meV per atom): 230

***

No. 6
## DyGeAuO3 (PBE-GGA)

Data for DyGeAuO3 after structural relaxation.

```
DyGeAuO3
1.0
2.930 0.000 0.000
-0.001 6.950 0.000
-1.387 -0.001 8.181
Dy Ge Au O
2 2 2 6
direct
0.000 0.000 0.000
0.007 0.500 0.010
0.334 0.735 0.659
0.673 0.235 0.351
0.315 0.239 0.614
0.691 0.739 0.396
0.121 0.410 0.271
0.132 0.062 0.269
0.489 0.248 0.976
0.517 0.748 0.034
0.878 0.562 0.741
0.882 0.911 0.738
```

Calculated values
Symmetry: P1
Raw total energy (eV/atom): -6.156